A relaxed VReBi2W crystal, computed with PBE.

Unit cell a=5.1338 b=5.1338 c=4.5659 alpha=90.00 beta=90.00 gamma=90.00
Space group P4/mmm (No. 123)
Asymmetric unit:
1 V 0.0000 0.0000 0.0000 (multiplicity 1)
2 Re 0.0000 0.0000 0.5000 (multiplicity 1)
3 Bi 0.0000 0.5000 0.0000 (multiplicity 2)
4 W 0.5000 0.5000 0.5000 (multiplicity 1)

Results
energy of formation: 1860 meV per atom
energy above the lowest structure with this stoichiometry: 0 kJ/mol of formula units

A relaxed AcDy7Tm4 crystal, computed with PBE.

Unit cell a=6.2058 b=7.1860 c=8.8440 alpha=89.93 beta=76.26 gamma=89.95
Space group P-1 (No. 2)
Asymmetric unit:
1 Ac 0.0000 0.0000 0.0000 (multiplicity 1)
2 Dy 0.0000 0.5000 0.0000 (multiplicity 1)
3 Dy 0.2244 0.0003 0.3389 (multiplicity 2)
4 Dy 0.2807 0.7453 0.6623 (multiplicity 2)
5 Dy 0.4997 0.2558 0.9998 (multiplicity 2)
6 Tm 0.2199 0.5001 0.3359 (multiplicity 2)
7 Tm 0.2799 0.2547 0.6627 (multiplicity 2)

Results
energy of formation: 13 meV per atom

A relaxed TbDy7Tm12 crystal, computed with PBE.

Unit cell a=11.0997 b=11.0997 c=11.0997 alpha=90.00 beta=90.00 gamma=90.00
Space group Im-3m (No. 229)
Asymmetric unit:
1 Tb 0.0000 0.0000 0.0000 (multiplicity 2)
2 Dy 0.0000 0.0000 0.5000 (multiplicity 6)
3 Dy 0.2500 0.2500 0.2500 (multiplicity 8)
4 Tm 0.0000 0.2510 0.2510 (multiplicity 24)

Results
energy of formation: 740 meV per atom
energy above the lowest structure with this stoichiometry: 827 kJ/mol of formula units

A relaxed AsS2O8F crystal, computed with PBE.

Unit cell a=8.0521 b=5.1972 c=7.8311 alpha=90.00 beta=97.98 gamma=90.00
Space group C2/m (No. 12)
Asymmetric unit:
1 As 0.0000 0.0000 0.0000 (multiplicity 2)
2 S 0.1179 0.5000 0.7948 (multiplicity 4)
3 O 0.0053 0.2678 0.8169 (multiplicity 8)
4 O 0.1816 0.5000 0.6352 (multiplicity 4)
5 O 0.2499 0.0000 0.0441 (multiplicity 4)
6 F 0.0000 0.0000 0.5000 (multiplicity 2)

Results
energy relative to the elements, uncorrected: -0.878 eV/atom

A relaxed Cd2Se2N crystal, computed with PBE.

Unit cell a=4.5663 b=4.5663 c=13.9852 alpha=90.00 beta=90.00 gamma=90.00
Space group I4/mmm (No. 139)
Asymmetric unit:
1 Cd 0.0000 0.5000 0.2500 (multiplicity 4)
2 Se 0.0000 0.0000 0.1397 (multiplicity 4)
3 N 0.0000 0.0000 0.5000 (multiplicity 2)

Results
energy above the lowest structure with this stoichiometry: 0 kJ/mol of formula units
energy relative to the elements, uncorrected: 0.659 eV/atom

A relaxed YMn5Si3 crystal, computed with PBE.

Unit cell a=3.8334 b=12.1463 c=11.1003 alpha=90.00 beta=90.00 gamma=90.00
Space group Cmcm (No. 63)
Asymmetric unit:
1 Y 0.0000 0.1684 0.2500 (multiplicity 4)
2 Mn 0.0000 0.0000 0.0000 (multiplicity 4)
3 Mn 0.0000 0.1922 0.5544 (multiplicity 8)
4 Mn 0.0000 0.4421 0.1481 (multiplicity 8)
5 Si 0.0000 0.1228 0.7500 (multiplicity 4)
6 Si 0.0000 0.3821 0.5560 (multiplicity 8)

Results
energy relative to the elements, uncorrected: -0.368 eV/atom